Record 1
The following is a DFT calculation (PBE-GGA) of a relaxed Th5Tc2Pt crystal.

Unit cell a=7.7917 b=7.7917 c=8.6759 alpha=116.68 beta=116.68 gamma=90.00
Closest atoms and distances in Å follow each position.
Element x y z (fractional)
Th1 0.9804 0.4804 0.2846  3 Tc 2.91-3.02, 2 Pt 3.26
Tc1 0.6385 0.1385 0.0000  8 Th 2.91-3.02, 1 Tc 3.05
Th2 0.1959 0.0196 0.7154  3 Tc 2.91-3.02, 2 Pt 3.26
Tc2 0.1385 0.3615 0.0000  8 Th 2.91-3.02, 1 Tc 3.05
Th3 0.5000 0.5000 0.0000  4 Tc 3.02, 2 Pt 3.35
Th4 0.5196 0.6959 0.7154  3 Tc 2.91-3.02, 2 Pt 3.26
Th5 0.8041 0.9804 0.2846  3 Tc 2.91-3.02, 2 Pt 3.26
Th6 0.4804 0.3041 0.2846  3 Tc 2.91-3.02, 2 Pt 3.26
Th7 0.3041 0.8041 0.2846  3 Tc 2.91-3.02, 2 Pt 3.26
Pt1 0.7500 0.7500 0.5000  10 Th 3.26-3.35
Th8 0.6959 0.1959 0.7154  3 Tc 2.91-3.02, 2 Pt 3.26
Tc3 0.8615 0.6385 0.0000  8 Th 2.91-3.02, 1 Tc 3.05
Pt2 0.2500 0.2500 0.5000  10 Th 3.26-3.35
Th9 0.0000 0.0000 0.0000  4 Tc 3.02, 2 Pt 3.35
Tc4 0.3615 0.8615 0.0000  8 Th 2.91-3.02, 1 Tc 3.05
Th10 0.0196 0.5196 0.7154  3 Tc 2.91-3.02, 2 Pt 3.26

Properties
The value obtained for the total energy is -8.400 eV/atom. For the spin magnetization, the calculation gives 0.0 μB per cell. Its space group is No. 140.

Record 2
The following is a DFT calculation (PBE-GGA) of a relaxed Ti4Tc2Pt crystal.

Unit cell a=5.3391 b=5.3391 c=5.3391 alpha=107.98 beta=110.22 gamma=110.22
Closest atoms and distances in Å follow each position.
Element x y z (fractional)
Ti1 0.5000 0.0000 0.0000  4 Tc 2.67, 2 Pt 2.67
Ti2 0.0000 0.0000 0.5000  4 Tc 2.67, 2 Pt 2.67
Ti3 0.5000 0.5000 0.5000  4 Tc 2.67, 2 Pt 2.67
Ti4 0.0000 0.5000 0.0000  2 Pt 2.67, 4 Tc 2.67
Pt1 0.0000 0.0000 0.0000  8 Ti 2.67
Tc1 0.5000 0.5000 0.0000  8 Ti 2.67
Tc2 0.5000 0.0000 0.5000  8 Ti 2.67

Properties
The value obtained for the total energy is -8.765 eV/atom. For the spin magnetization, the calculation gives 0.0 μB per cell. Its space group is No. 139.

Record 3
The following is a DFT calculation (PBE-GGA) of a relaxed Ti5Tc4Pt crystal.

Unit cell a=3.1264 b=3.1264 c=15.4975 alpha=90.00 beta=90.00 gamma=90.00
Closest atoms and distances in Å follow each position.
Element x y z (fractional)
Ti1 0.5000 0.5000 0.8934  4 Tc 2.63, 4 Pt 2.76
Tc1 0.0000 0.0000 0.3999  8 Ti 2.69-2.70
Tc2 0.0000 0.0000 0.8016  8 Ti 2.63-2.72
Tc3 0.0000 0.0000 0.6001  8 Ti 2.69-2.70
Pt1 0.0000 0.0000 0.0000  8 Ti 2.76, 2 Tc 3.08
Ti2 0.5000 0.5000 0.1066  4 Tc 2.63, 4 Pt 2.76
Ti3 0.5000 0.5000 0.5000  8 Tc 2.70
Ti4 0.5000 0.5000 0.6989  8 Tc 2.69-2.72
Ti5 0.5000 0.5000 0.3011  8 Tc 2.69-2.72
Tc4 0.0000 0.0000 0.1984  8 Ti 2.63-2.72

Properties
The value obtained for the total energy is -9.323 eV/atom. For the spin magnetization, the calculation gives 0.0 μB per cell. Its space group is No. 123.

Record 4
The following is a DFT calculation (PBE-GGA) of a relaxed Ti4Tc3Pt crystal.

Unit cell a=3.1380 b=4.4120 c=8.7282 alpha=90.00 beta=90.00 gamma=90.00
Closest atoms and distances in Å follow each position.
Element x y z (fractional)
Ti1 0.0000 0.0000 0.0000  4 Tc 2.66, 4 Pt 2.71
Ti2 0.0000 0.5000 0.7409  6 Tc 2.62-2.71, 2 Pt 2.75
Tc1 0.5000 0.0000 0.7546  8 Ti 2.66-2.72
Pt1 0.5000 0.5000 0.0000  8 Ti 2.71-2.75
Tc2 0.5000 0.5000 0.5000  8 Ti 2.62-2.71
Ti3 0.0000 0.5000 0.2591  6 Tc 2.62-2.71, 2 Pt 2.75
Tc3 0.5000 0.0000 0.2454  8 Ti 2.66-2.72
Ti4 0.0000 0.0000 0.5000  8 Tc 2.71-2.72

Properties
The value obtained for the total energy is -9.271 eV/atom. For the spin magnetization, the calculation gives 0.0 μB per cell. Its space group is No. 47.

Record 5
The following is a DFT calculation (PBE-GGA) of a relaxed Ti4TcPt crystal.

Unit cell a=4.3451 b=4.3473 c=7.2965 alpha=72.72 beta=72.68 gamma=60.02
Closest atoms and distances in Å follow each position.
Element x y z (fractional)
Ti1 0.3722 0.3722 0.8834  1 Pt 2.63, 3 Tc 2.63
Ti2 0.8778 0.8779 0.3665  1 Tc 2.51, 3 Pt 2.67
Pt1 0.5000 0.5000 0.5000  8 Ti 2.63-2.67
Ti3 0.6278 0.6278 0.1166  1 Pt 2.63, 3 Tc 2.63
Tc1 0.0000 0.0000 0.0000  8 Ti 2.51-2.63
Ti4 0.1222 0.1221 0.6335  1 Tc 2.51, 3 Pt 2.67

Properties
The value obtained for the total energy is -8.196 eV/atom. For the spin magnetization, the calculation gives 0.0 μB per cell. Its space group is No. 166.

Record 6
The following is a DFT calculation (PBE-GGA) of a relaxed Ti3Tc2Pt crystal.

Unit cell a=3.1392 b=3.1392 c=9.2814 alpha=90.00 beta=90.00 gamma=90.00
Closest atoms and distances in Å follow each position.
Element x y z (fractional)
Ti1 0.0000 0.0000 0.3229  4 Tc 2.64, 4 Pt 2.76
Pt1 0.5000 0.5000 0.5000  8 Ti 2.76, 2 Tc 3.07
Ti2 0.0000 0.0000 0.0000  8 Tc 2.72, 2 Ti 3.00
Tc1 0.5000 0.5000 0.1692  8 Ti 2.64-2.72
Tc2 0.5000 0.5000 0.8308  8 Ti 2.64-2.72
Ti3 0.0000 0.0000 0.6771  4 Tc 2.64, 4 Pt 2.76

Properties
The value obtained for the total energy is -9.137 eV/atom. For the spin magnetization, the calculation gives 0.0 μB per cell. Its space group is No. 123.

no.,ΔE_f (eV per atom)
1,-0.416
2,-0.429
3,-0.625
4,-0.681
5,-0.198
6,-0.727